# 1
DFT (PBE-GGA) results for an optimized crystal structure of BaLiSnSb2.

Cell lengths 8.0838, 8.0838, 8.0838 Å; angles 146.84, 146.84, 47.60 degrees
Sites, in units of the cell vectors:
Ba  0.0000  0.0000  0.0000
Li  0.7500  0.2500  0.5000
Sn  0.2500  0.7500  0.5000
Sb  0.3858  0.3858  0.0000
Sb  0.6142  0.6142  0.0000

energy relative to the elements, uncorrected: -54.1 kJ per mole of atoms
DOS(E_F): 0.4791 states/eV/atom



# 2
DFT (PBE-GGA) results for an optimized crystal structure of BeCrNi.

Cell lengths 2.4151, 4.5003, 5.9292 Å; angles 95.46, 99.89, 104.18 degrees
Sites, in units of the cell vectors:
Be  0.2385  0.1847  0.1638
Be  0.7615  0.8153  0.8362
Cr  0.0000  0.0000  0.5000
Cr  0.0000  0.5000  0.5000
Ni  0.3835  0.7016  0.1477
Ni  0.6165  0.2984  0.8523

DOS(E_F): 0.9492 states/eV/atom
ΔH_f (0 K): -0.06 eV per atom
relative energy among the computed polymorphs: 0.104 eV/atom



# 3
DFT (PBE-GGA) results for an optimized crystal structure of Ca3ZrI.

Cell lengths 5.8412, 5.8412, 5.8412 Å; angles 90.00, 90.00, 90.00 degrees
Sites, in units of the cell vectors:
Ca  0.0000  0.0000  0.5000
Ca  0.0000  0.5000  0.0000
Ca  0.5000  0.0000  0.0000
Zr  0.5000  0.5000  0.5000
I  0.0000  0.0000  0.0000

energy relative to the elements, uncorrected: 36.8 kJ per mole of atoms
DOS(E_F): 0.6010 states/eV/atom
relative energy among the computed polymorphs: 0.000 eV/atom



- DOS(E_F) of number 3 (Ca3ZrI)?
  0.6010 states/eV/atom